--- P ---
The following is a DFT calculation (PBE) of an optimized crystal structure of SnSb2Pb2.

```
SnSb2Pb2
1.0
-2.1122 2.1122 8.9709
2.1122 -2.1122 8.9709
2.1122 2.1122 -8.9709
Sn Sb Pb
1 2 2
Direct
0.0000 0.0000 0.0000
0.2500 0.7500 0.5000
0.7500 0.2500 0.5000
0.4045 0.4045 0.0000
0.5955 0.5955 0.0000
```

Output
Spin magnetization (μB per cell): 0.0
Density (Mg/m³): 8.1
SG: No. 139



--- Q ---
The following is a DFT calculation (PBE) of an optimized crystal structure of SnSb2Pb2.

```
SnSb2Pb2
1.0
2.6979 1.5576 5.8438
-2.6979 1.5576 5.8438
0.0000 -3.1152 5.8438
Sn Sb Pb
1 2 2
Direct
0.0000 0.0000 0.0000
0.1801 0.1801 0.1801
0.8199 0.8199 0.8199
0.3892 0.3892 0.3892
0.6108 0.6108 0.6108
```

Output
Spin magnetization (μB per cell): 0.0
Density (Mg/m³): 8.8
SG: No. 166



Relative energies, in eV/atom, with the most stable structure set to zero: P 0.084; Q 0.000.



--- P ---
The following is a DFT calculation (PBE) of an optimized crystal structure of Sn3Sb3Pb.

```
Sn3Sb3Pb
1.0
8.2579 0.0000 0.0000
0.0000 8.2579 0.0000
0.0000 0.0000 8.2579
Sn Sb Pb
6 6 2
Direct
0.0000 0.2500 0.5000
0.0000 0.7500 0.5000
0.2500 0.5000 0.0000
0.5000 0.0000 0.2500
0.5000 0.0000 0.7500
0.7500 0.5000 0.0000
0.0000 0.5000 0.2500
0.0000 0.5000 0.7500
0.2500 0.0000 0.5000
0.5000 0.2500 0.0000
0.5000 0.7500 0.0000
0.7500 0.0000 0.5000
0.0000 0.0000 0.0000
0.5000 0.5000 0.5000
```

Output
Spin magnetization (μB per cell): 1.6
Density (Mg/m³): 5.5
SG: No. 223



--- Q ---
The following is a DFT calculation (PBE) of an optimized crystal structure of Sn3Sb3Pb.

```
Sn3Sb3Pb
1.0
4.6509 2.6852 6.3037
-4.6509 2.6852 6.3037
0.0000 -5.3704 6.3037
Sn Sb Pb
6 6 2
Direct
0.0887 0.7658 0.4057
0.2342 0.5943 0.9113
0.4057 0.0887 0.7658
0.5943 0.9113 0.2342
0.7658 0.4057 0.0887
0.9113 0.2342 0.5943
0.0716 0.4352 0.7378
0.2622 0.9284 0.5648
0.4352 0.7378 0.0716
0.5648 0.2622 0.9284
0.7378 0.0716 0.4352
0.9284 0.5648 0.2622
0.3328 0.3328 0.3328
0.6672 0.6672 0.6672
```

Output
Spin magnetization (μB per cell): 0.0
Density (Mg/m³): 6.5
SG: No. 148



Relative energies, in eV/atom, with the most stable structure set to zero: P 0.310; Q 0.000.



--- P ---
The following is a DFT calculation (PBE) of an optimized crystal structure of Sn2SbPb.

```
Sn2SbPb
1.0
-3.4393 3.4393 6.8844
3.4393 -3.4393 6.8844
3.4393 3.4393 -6.8844
Sn Sb Pb
4 2 2
Direct
0.1180 0.6250 0.9930
0.3750 0.3680 0.4930
0.6320 0.1250 0.0070
0.8750 0.8820 0.5070
0.0000 0.0000 0.0000
0.7500 0.2500 0.5000
0.2500 0.7500 0.5000
0.5000 0.5000 0.0000
```

Output
Spin magnetization (μB per cell): 0.0
Density (Mg/m³): 5.8
SG: No. 122



--- Q ---
The following is a DFT calculation (PBE) of an optimized crystal structure of Sn2SbPb.

```
Sn2SbPb
1.0
2.1239 1.2263 7.9371
-2.1239 1.2263 7.9371
0.0000 -2.4525 7.9371
Sn Sb Pb
2 1 1
Direct
0.0000 0.0000 0.0000
0.1791 0.1791 0.1791
0.5890 0.5890 0.5890
0.7575 0.7575 0.7575
```

Output
Spin magnetization (μB per cell): 0.0
Density (Mg/m³): 7.6
SG: No. 160



Relative energies, in eV/atom, with the most stable structure set to zero: P 0.071; Q 0.000.



--- P ---
The following is a DFT calculation (PBE) of an optimized crystal structure of Sn2SbPb.

```
Sn2SbPb
1.0
4.7575 0.0000 0.0000
0.0000 4.7575 0.0000
0.0000 0.0000 5.1370
Sn Sb Pb
2 1 1
Direct
0.0000 0.5000 0.0000
0.5000 0.0000 0.0000
0.0000 0.0000 0.5000
0.5000 0.5000 0.5000
```

Output
Spin magnetization (μB per cell): 0.0
Density (Mg/m³): 8.1
SG: No. 123



--- Q ---
The following is a DFT calculation (PBE) of an optimized crystal structure of Sn2SbPb.

```
Sn2SbPb
1.0
3.7972 0.0000 0.0000
0.0000 3.7972 0.0000
0.0000 0.0000 7.9351
Sn Sb Pb
2 1 1
Direct
0.0000 0.0000 0.2278
0.0000 0.0000 0.7722
0.5000 0.5000 0.0000
0.5000 0.5000 0.5000
```

Output
Spin magnetization (μB per cell): 0.0
Density (Mg/m³): 8.2
SG: No. 123



Relative energies, in eV/atom, with the most stable structure set to zero: P 0.006; Q 0.000.



--- P ---
The following is a DFT calculation (PBE) of an optimized crystal structure of Sn2SbPb.

```
Sn2SbPb
1.0
2.1726 1.2544 7.5309
-2.1726 1.2544 7.5309
0.0000 -2.5087 7.5309
Sn Sb Pb
2 1 1
Direct
0.2450 0.2450 0.2450
0.7550 0.7550 0.7550
0.5000 0.5000 0.5000
0.0000 0.0000 0.0000
```

Output
Spin magnetization (μB per cell): 0.0
Density (Mg/m³): 7.6
SG: No. 166



--- Q ---
The following is a DFT calculation (PBE) of an optimized crystal structure of Sn2SbPb.

```
Sn2SbPb
1.0
-1.6273 5.9105 3.1033
1.6273 -5.9105 3.1033
1.6273 5.9105 -3.1033
Sn Sb Pb
2 1 1
Direct
0.2486 0.0000 0.2486
0.7514 0.0000 0.7514
0.6319 0.1319 0.5000
0.1313 0.6313 0.5000
```

Output
Spin magnetization (μB per cell): 0.0
Density (Mg/m³): 7.9
SG: No. 44



Relative energies, in eV/atom, with the most stable structure set to zero: P 0.000; Q 0.005.



--- P ---
The following is a DFT calculation (PBE) of an optimized crystal structure of SnSb2Pb8.

```
SnSb2Pb8
1.0
5.2349 0.0000 0.0000
0.0764 7.8166 0.0000
2.5866 2.7577 8.2992
Sn Sb Pb
1 2 8
Direct
0.0000 0.0000 0.0000
0.2831 0.3398 0.4394
0.7169 0.6602 0.5606
0.0930 0.4467 0.8096
0.1752 0.9069 0.6453
0.3533 0.7913 0.2913
0.4566 0.2652 0.0841
0.5434 0.7348 0.9159
0.6467 0.2087 0.7087
0.8248 0.0931 0.3547
0.9070 0.5533 0.1904
```

Output
Spin magnetization (μB per cell): 0.0
Density (Mg/m³): 9.9
SG: No. 2



--- Q ---
The following is a DFT calculation (PBE) of an optimized crystal structure of SnSb2Pb8.

```
SnSb2Pb8
1.0
4.7867 -7.5365 0.0000
4.7867 7.5365 0.0000
-1.3849 0.0000 5.0324
Sn Sb Pb
1 2 8
Direct
0.0000 0.0000 0.0000
0.3352 0.6648 0.5000
0.6648 0.3352 0.5000
0.0758 0.3036 0.5812
0.2168 0.7832 0.0000
0.3036 0.0758 0.5812
0.3625 0.3625 0.1509
0.6375 0.6375 0.8491
0.6964 0.9242 0.4188
0.7832 0.2168 0.0000
0.9242 0.6964 0.4188
```

Output
Spin magnetization (μB per cell): 0.0
Density (Mg/m³): 9.2
SG: No. 12



Relative energies, in eV/atom, with the most stable structure set to zero: P 0.000; Q 0.049.



--- P ---
The following is a DFT calculation (PBE) of an optimized crystal structure of SnSb3Pb.

```
SnSb3Pb
1.0
5.7444 0.0000 0.0000
0.0000 5.7444 0.0000
0.0000 0.0000 5.7444
Sn Sb Pb
1 3 1
Direct
0.0000 0.0000 0.0000
0.0000 0.5000 0.5000
0.5000 0.0000 0.5000
0.5000 0.5000 0.0000
0.5000 0.5000 0.5000
```

Output
Spin magnetization (μB per cell): 0.0
Density (Mg/m³): 6.1
SG: No. 221



--- Q ---
The following is a DFT calculation (PBE) of an optimized crystal structure of SnSb3Pb.

```
SnSb3Pb
1.0
5.6517 0.0000 0.0000
0.0000 5.6517 0.0000
0.0000 0.0000 5.6517
Sn Sb Pb
1 3 1
Direct
0.0000 0.0000 0.0000
0.0000 0.0000 0.5000
0.0000 0.5000 0.0000
0.5000 0.0000 0.0000
0.5000 0.5000 0.5000
```

Output
Spin magnetization (μB per cell): 0.0
Density (Mg/m³): 6.4
SG: No. 221



Relative energies, in eV/atom, with the most stable structure set to zero: P 0.237; Q 0.000.



--- P ---
The following is a DFT calculation (PBE) of an optimized crystal structure of SnSbPb3.

```
SnSbPb3
1.0
5.7935 0.0000 0.0000
0.0000 5.7935 0.0000
0.0000 0.0000 5.7935
Sn Sb Pb
1 1 3
Direct
0.0000 0.0000 0.0000
0.5000 0.5000 0.5000
0.0000 0.0000 0.5000
0.0000 0.5000 0.0000
0.5000 0.0000 0.0000
```

Output
Spin magnetization (μB per cell): 0.0
Density (Mg/m³): 7.4
SG: No. 221



--- Q ---
The following is a DFT calculation (PBE) of an optimized crystal structure of SnSbPb3.

```
SnSbPb3
1.0
4.1266 0.0000 0.0000
-1.9934 5.8595 0.0000
-0.0159 -1.1685 12.6883
Sn Sb Pb
2 2 6
Direct
0.1622 0.3204 0.0442
0.8378 0.6796 0.9558
0.3427 0.6619 0.4521
0.6573 0.3381 0.5479
0.0202 0.0764 0.3680
0.2465 0.4976 0.7560
0.4547 0.9151 0.1387
0.5453 0.0849 0.8613
0.7535 0.5024 0.2440
0.9798 0.9236 0.6320
```

Output
Spin magnetization (μB per cell): 0.0
Density (Mg/m³): 9.3
SG: No. 2



--- R ---
The following is a DFT calculation (PBE) of an optimized crystal structure of SnSbPb3.

```
SnSbPb3
1.0
-4.9386 4.1569 4.1190
4.9386 -4.1569 4.1190
4.9386 4.1569 -4.1190
Sn Sb Pb
2 2 6
Direct
0.2175 0.2500 0.4675
0.7825 0.7500 0.5325
0.2437 0.5287 0.2150
0.3137 0.0287 0.7850
0.2076 0.5675 0.7782
0.2076 0.9294 0.1401
0.6866 0.9624 0.2242
0.7382 0.4624 0.7758
0.7893 0.0675 0.8599
0.7893 0.4294 0.2218
```

Output
Spin magnetization (μB per cell): 0.0
Density (Mg/m³): 8.5
SG: No. 46



Relative energies, in eV/atom, with the most stable structure set to zero: P 0.514; Q 0.000; R 0.100.



--- P ---
The following is a DFT calculation (PBE) of an optimized crystal structure of SnSb2TePb.

```
SnSb2TePb
1.0
5.7734 0.0000 0.0000
0.0000 5.7734 0.0000
0.0000 0.0000 5.8068
Sn Sb Te Pb
1 2 1 1
Direct
0.0000 0.0000 0.0000
0.0000 0.5000 0.5000
0.5000 0.0000 0.5000
0.5000 0.5000 0.0000
0.5000 0.5000 0.5000
```

Output
Spin magnetization (μB per cell): 0.0
Density (Mg/m³): 6.0
SG: No. 123



--- Q ---
The following is a DFT calculation (PBE) of an optimized crystal structure of SnSb2TePb.

```
SnSb2TePb
1.0
5.6518 0.0000 0.0000
0.0000 5.6518 0.0000
0.0000 0.0000 5.7271
Sn Sb Te Pb
1 2 1 1
Direct
0.0000 0.0000 0.0000
0.0000 0.5000 0.0000
0.5000 0.0000 0.0000
0.0000 0.0000 0.5000
0.5000 0.5000 0.5000
```

Output
Spin magnetization (μB per cell): 0.0
Density (Mg/m³): 6.3
SG: No. 123



Relative energies, in eV/atom, with the most stable structure set to zero: P 0.234; Q 0.000.



--- P ---
The following is a DFT calculation (PBE) of an optimized crystal structure of Sr3SbPb.

```
Sr3SbPb
1.0
6.2071 0.0000 0.0000
0.0000 6.2071 0.0000
0.0000 0.0000 6.2071
Sr Sb Pb
3 1 1
Direct
0.0000 0.0000 0.5000
0.0000 0.5000 0.0000
0.5000 0.0000 0.0000
0.0000 0.0000 0.0000
0.5000 0.5000 0.5000
```

Output
Spin magnetization (μB per cell): 0.7
Density (Mg/m³): 4.1
SG: No. 221



--- Q ---
The following is a DFT calculation (PBE) of an optimized crystal structure of Sr3SbPb.

```
Sr3SbPb
1.0
10.0466 0.0000 0.0000
0.0000 8.7057 0.0000
-2.2539 0.0000 9.0001
Sr Sb Pb
12 4 4
Direct
0.0695 0.0015 0.2071
0.0695 0.4985 0.7071
0.2934 0.1307 0.5883
0.2934 0.3693 0.0883
0.3649 0.7032 0.4562
0.3649 0.7968 0.9562
0.6351 0.2032 0.0438
0.6351 0.2968 0.5438
0.7066 0.6307 0.9117
0.7066 0.8693 0.4117
0.9305 0.5015 0.2929
0.9305 0.9985 0.7929
0.4103 0.0497 0.2602
0.4103 0.4503 0.7602
0.5897 0.5497 0.2398
0.5897 0.9503 0.7398
0.0700 0.6668 0.0434
0.0700 0.8332 0.5434
0.9300 0.1668 0.4566
0.9300 0.3332 0.9566
```

Output
Spin magnetization (μB per cell): 0.0
Density (Mg/m³): 5.0
SG: No. 14



Relative energies, in eV/atom, with the most stable structure set to zero: P 0.311; Q 0.000.



--- P ---
The following is a DFT calculation (PBE) of an optimized crystal structure of SrSbPb3.

```
SrSbPb3
1.0
5.9313 0.0000 0.0000
0.0000 5.9313 0.0000
0.0000 0.0000 5.9313
Sr Sb Pb
1 1 3
Direct
0.0000 0.0000 0.0000
0.5000 0.5000 0.5000
0.0000 0.5000 0.5000
0.5000 0.0000 0.5000
0.5000 0.5000 0.0000
```

Output
Spin magnetization (μB per cell): 0.0
Density (Mg/m³): 6.6
SG: No. 221



--- Q ---
The following is a DFT calculation (PBE) of an optimized crystal structure of SrSbPb3.

```
SrSbPb3
1.0
6.0396 0.0000 0.0000
0.0000 6.0396 0.0000
0.0000 0.0000 6.0396
Sr Sb Pb
1 1 3
Direct
0.0000 0.0000 0.0000
0.5000 0.5000 0.5000
0.0000 0.0000 0.5000
0.0000 0.5000 0.0000
0.5000 0.0000 0.0000
```

Output
Spin magnetization (μB per cell): 0.0
Density (Mg/m³): 6.3
SG: No. 221



Relative energies, in eV/atom, with the most stable structure set to zero: P 0.000; Q 0.669.



--- P ---
The following is a DFT calculation (PBE) of an optimized crystal structure of Ta3SbPb.

```
Ta3SbPb
1.0
5.0658 0.0000 0.0000
0.0000 5.0658 0.0000
0.0000 0.0000 5.0658
Ta Sb Pb
3 1 1
Direct
0.0000 0.0000 0.5000
0.0000 0.5000 0.0000
0.5000 0.0000 0.0000
0.0000 0.0000 0.0000
0.5000 0.5000 0.5000
```

Output
Spin magnetization (μB per cell): 0.0
Density (Mg/m³): 11.1
SG: No. 221



--- Q ---
The following is a DFT calculation (PBE) of an optimized crystal structure of Ta3SbPb.

```
Ta3SbPb
1.0
5.1314 0.0000 0.0000
0.0000 5.1314 0.0000
0.0000 0.0000 5.1314
Ta Sb Pb
3 1 1
Direct
0.0000 0.0000 0.5000
0.0000 0.5000 0.0000
0.5000 0.0000 0.0000
0.5000 0.5000 0.5000
0.0000 0.0000 0.0000
```

Output
Spin magnetization (μB per cell): 0.0
Density (Mg/m³): 10.7
SG: No. 221



Relative energies, in eV/atom, with the most stable structure set to zero: P 0.000; Q 0.528.